{
  "formula": "ErTmScIn",
  "functional": "GGA-PBE",
  "state": "optimized geometry",
  "vol_a3_per_cell": 104,
  "de_polymorph_mev_per_atom": 0,
  "energy_ev_per_cell": -19.1,
  "n_ef_per_ev_cell": 5.44,
  "cell": [[-3.8583, -2.5540, 0.7216], [1.3411, -0.7686, 4.4507], [-2.3101, 3.8756, 1.3654]],
  "species": ["In", "Tm", "Sc", "Er"],
  "fractional_positions": [[0.5000, 0.5000, 0.0000], [0.0000, 0.0000, 0.0000], [0.5000, 0.0000, 0.5000], [0.0000, 0.5000, 0.5000]]
}

=====

{
  "formula": "YErSc2In4",
  "functional": "GGA-PBE",
  "state": "optimized geometry",
  "vol_a3_per_cell": 196,
  "energy_ev_per_cell": -38.1,
  "n_ef_per_ev_cell": 4.49,
  "cell": [[-1.7362, 1.1959, 4.7216], [-0.4607, -3.6871, 3.5959], [7.1961, 0.6554, 5.3116]],
  "species": ["In", "In", "Sc", "In", "Er", "Sc", "Y", "In"],
  "fractional_positions": [[0.6245, 0.6245, 0.1266], [0.1254, 0.1254, 0.6237], [0.2498, 0.2498, 0.2506], [0.3755, 0.3755, 0.8734], [0.5000, 0.5000, 0.5000], [0.7502, 0.7502, 0.7494], [0.0000, 0.0000, 0.0000], [0.8746, 0.8746, 0.3763]]
}

=====

{
  "formula": "ErScZnIn",
  "functional": "GGA-PBE",
  "state": "optimized geometry",
  "vol_a3_per_cell": 90,
  "de_polymorph_mev_per_atom": 27,
  "energy_ev_per_cell": -16.4,
  "n_ef_per_ev_cell": 3.75,
  "cell": [[-1.1728, 2.6642, -4.0998], [2.8888, -0.2998, -4.1045], [-1.7089, -2.3352, -4.1119]],
  "species": ["Er", "Zn", "In", "Sc"],
  "fractional_positions": [[0.2500, 0.2500, 0.2500], [0.0000, 0.0000, 0.0000], [0.5000, 0.5000, 0.5000], [0.7500, 0.7500, 0.7500]]
}

=====

{
  "formula": "ErSc2Zn2In2",
  "functional": "GGA-PBE",
  "state": "optimized geometry",
  "vol_a3_per_cell": 156,
  "energy_ev_per_cell": -26.9,
  "n_ef_per_ev_cell": 5.32,
  "cell": [[4.6359, 0.0000, 0.0000], [2.3180, 4.0148, 0.0000], [2.3180, 1.3383, 8.4073]],
  "species": ["Sc", "In", "In", "Zn", "Sc", "Er", "Zn"],
  "fractional_positions": [[0.1352, 0.1352, 0.5945], [0.2623, 0.2623, 0.2132], [0.7377, 0.7377, 0.7868], [0.4369, 0.4369, 0.6893], [0.8648, 0.8648, 0.4055], [0.0000, 0.0000, 0.0000], [0.5631, 0.5631, 0.3107]]
}

=====

{
  "formula": "ErScZnIn",
  "functional": "GGA-PBE",
  "state": "optimized geometry",
  "vol_a3_per_cell": 89,
  "de_polymorph_mev_per_atom": 0,
  "energy_ev_per_cell": -16.5,
  "n_ef_per_ev_cell": 3.03,
  "cell": [[-3.1633, 1.5491, -0.0565], [-1.1658, -2.4620, -2.2335], [-2.0783, -4.0418, 5.5400]],
  "species": ["Zn", "In", "Er", "Sc"],
  "fractional_positions": [[0.0000, 0.0000, 0.3761], [0.0000, 0.0000, 0.8400], [0.5000, 0.5000, 0.1262], [0.5000, 0.5000, 0.5857]]
}

=====

{
  "formula": "Er2ScZn2In2",
  "functional": "GGA-PBE",
  "state": "optimized geometry",
  "vol_a3_per_cell": 164,
  "energy_ev_per_cell": -25.1,
  "n_ef_per_ev_cell": 3.14,
  "cell": [[-2.3134, -2.4374, 3.2133], [-2.1242, -3.9658, -1.1737], [5.8125, -6.5928, 2.5475]],
  "species": ["Er", "In", "Zn", "In", "Zn", "Er", "Sc"],
  "fractional_positions": [[0.8738, 0.8738, 0.3786], [0.7345, 0.7345, 0.7965], [0.3890, 0.3890, 0.8330], [0.2655, 0.2655, 0.2035], [0.6110, 0.6110, 0.1670], [0.1262, 0.1262, 0.6214], [0.0000, 0.0000, 0.0000]]
}